# PBE Ba2Li5Tl5, relaxed
# M_tot, μB/atom: 0.000
# Density of states at the Fermi level, states/eV per cell: 6.22
# Energy of formation, eV/atom: -0.255
# Calculated density, g/cm³: 6.576
data_Ba2Li5Tl5
_chemical_formula_sum 'Ba2 Li5 Tl5'
_space_group_name_H-M_alt 'P 1'
_space_group_IT_number 1
_cell_length_a 4.964
_cell_length_b 6.096
_cell_length_c 11.109
_cell_angle_alpha 90.00
_cell_angle_beta 90.00
_cell_angle_gamma 90.00
loop_
_space_group_symop_operation_xyz
'x,y,z'
loop_
_atom_site_label
_atom_site_type_symbol
_atom_site_fract_x
_atom_site_fract_y
_atom_site_fract_z
Ba1 Ba 0.000 0.000 0.000
Ba2 Ba 0.000 0.500 0.500
Li1 Li 0.500 0.000 0.500
Li2 Li 0.500 0.246 0.244
Li3 Li 0.500 0.246 0.756
Li4 Li 0.500 0.754 0.244
Li5 Li 0.500 0.754 0.756
Tl1 Tl 0.000 0.000 0.335
Tl2 Tl 0.000 0.000 0.665
Tl3 Tl 0.000 0.500 0.186
Tl4 Tl 0.000 0.500 0.814
Tl5 Tl 0.500 0.500 0.000

---

# PBE TaTcAu, relaxed
# M_tot, μB/atom: 0.000
# Density of states at the Fermi level, states/eV per cell: 2.12
# ΔE to the lowest computed polymorph, eV per atom: 0.097
# Energy of formation, eV/atom: 0.078
# Calculated density, g/cm³: 15.513
data_TaTcAu
_chemical_formula_sum 'Ta1 Tc1 Au1'
_space_group_name_H-M_alt 'P 1'
_space_group_IT_number 1
_cell_length_a 7.014
_cell_length_b 6.850
_cell_length_c 2.830
_cell_angle_alpha 81.51
_cell_angle_beta 74.98
_cell_angle_gamma 23.52
loop_
_space_group_symop_operation_xyz
'x,y,z'
loop_
_atom_site_label
_atom_site_type_symbol
_atom_site_fract_x
_atom_site_fract_y
_atom_site_fract_z
Ta1 Ta 0.000 0.000 0.000
Tc1 Tc 0.348 0.348 0.652
Au1 Au 0.673 0.673 0.327

---

# PBE Li2Mg6Pd, relaxed
# M_tot, μB/atom: 0.000
# Density of states at the Fermi level, states/eV per cell: 2.53
# ΔE to the lowest computed polymorph, eV per atom: 0.000
# Energy of formation, eV/atom: -0.216
# Calculated density, g/cm³: 2.515
data_Li2Mg6Pd
_chemical_formula_sum 'Li2 Mg6 Pd1'
_space_group_name_H-M_alt 'P 1'
_space_group_IT_number 1
_cell_length_a 4.772
_cell_length_b 4.772
_cell_length_c 8.907
_cell_angle_alpha 90.00
_cell_angle_beta 90.00
_cell_angle_gamma 120.00
loop_
_space_group_symop_operation_xyz
'x,y,z'
loop_
_atom_site_label
_atom_site_type_symbol
_atom_site_fract_x
_atom_site_fract_y
_atom_site_fract_z
Li1 Li 0.333 0.667 0.285
Li2 Li 0.667 0.333 0.715
Mg1 Mg 0.000 0.000 0.193
Mg2 Mg 0.000 0.000 0.807
Mg3 Mg 0.333 0.667 0.593
Mg4 Mg 0.333 0.667 0.949
Mg5 Mg 0.667 0.333 0.051
Mg6 Mg 0.667 0.333 0.407
Pd1 Pd 0.000 0.000 0.500

---

# PBE Na4MgPb5, relaxed
# M_tot, μB/atom: 0.000
# Density of states at the Fermi level, states/eV per cell: 4.05
# Energy of formation, eV/atom: -0.129
# Calculated density, g/cm³: 6.841
data_Na4MgPb5
_chemical_formula_sum 'Na4 Mg1 Pb5'
_space_group_name_H-M_alt 'P 1'
_space_group_IT_number 1
_cell_length_a 3.809
_cell_length_b 3.809
_cell_length_c 19.281
_cell_angle_alpha 90.00
_cell_angle_beta 90.00
_cell_angle_gamma 90.00
loop_
_space_group_symop_operation_xyz
'x,y,z'
loop_
_atom_site_label
_atom_site_type_symbol
_atom_site_fract_x
_atom_site_fract_y
_atom_site_fract_z
Na1 Na 0.000 0.000 0.099
Na2 Na 0.000 0.000 0.303
Na3 Na 0.000 0.000 0.697
Na4 Na 0.000 0.000 0.901
Mg1 Mg 0.000 0.000 0.500
Pb1 Pb 0.500 0.500 0.000
Pb2 Pb 0.500 0.500 0.198
Pb3 Pb 0.500 0.500 0.410
Pb4 Pb 0.500 0.500 0.590
Pb5 Pb 0.500 0.500 0.802

---

# PBE MnAgGe, relaxed
# M_tot, μB/atom: 0.009
# Density of states at the Fermi level, states/eV per cell: 4.93
# Energy of formation, eV/atom: 0.117
# Calculated density, g/cm³: 8.675
data_MnAgGe
_chemical_formula_sum 'Mn2 Ag2 Ge2'
_space_group_name_H-M_alt 'P 1'
_space_group_IT_number 1
_cell_length_a 2.785
_cell_length_b 2.785
_cell_length_c 11.622
_cell_angle_alpha 90.00
_cell_angle_beta 90.00
_cell_angle_gamma 90.00
loop_
_space_group_symop_operation_xyz
'x,y,z'
loop_
_atom_site_label
_atom_site_type_symbol
_atom_site_fract_x
_atom_site_fract_y
_atom_site_fract_z
Mn1 Mn 0.250 0.250 0.060
Mn2 Mn 0.750 0.750 0.940
Ag1 Ag 0.250 0.250 0.402
Ag2 Ag 0.750 0.750 0.598
Ge1 Ge 0.250 0.250 0.799
Ge2 Ge 0.750 0.750 0.201

---

# PBE CaPa2N4, relaxed
# M_tot, μB/atom: 0.000
# Density of states at the Fermi level, states/eV per cell: 0.00
# ΔE to the lowest computed polymorph, eV per atom: 0.014
# Uncorrected formation energy, eV per atom: -1.4350
# Calculated density, g/cm³: 8.655
data_CaPa2N4
_chemical_formula_sum 'Ca1 Pa2 N4'
_space_group_name_H-M_alt 'P 1'
_space_group_IT_number 1
_cell_length_a 9.511
_cell_length_b 9.511
_cell_length_c 9.511
_cell_angle_alpha 22.13
_cell_angle_beta 22.13
_cell_angle_gamma 22.13
loop_
_space_group_symop_operation_xyz
'x,y,z'
loop_
_atom_site_label
_atom_site_type_symbol
_atom_site_fract_x
_atom_site_fract_y
_atom_site_fract_z
Ca1 Ca 0.000 0.000 0.000
Pa1 Pa 0.110 0.110 0.110
Pa2 Pa 0.890 0.890 0.890
N1 N 0.197 0.197 0.197
N2 N 0.396 0.396 0.396
N3 N 0.604 0.604 0.604
N4 N 0.803 0.803 0.803

---

# PBE Ce3Nd3ScS8, relaxed
# M_tot, μB/atom: 0.208
# Density of states at the Fermi level, states/eV per cell: 19.25
# Uncorrected formation energy, eV per atom: -2.0221
# Calculated density, g/cm³: 5.214
data_Ce3Nd3ScS8
_chemical_formula_sum 'Ce3 Nd3 Sc1 S8'
_space_group_name_H-M_alt 'P 1'
_space_group_IT_number 1
_cell_length_a 8.042
_cell_length_b 8.042
_cell_length_c 8.042
_cell_angle_alpha 59.99
_cell_angle_beta 59.99
_cell_angle_gamma 59.99
loop_
_space_group_symop_operation_xyz
'x,y,z'
loop_
_atom_site_label
_atom_site_type_symbol
_atom_site_fract_x
_atom_site_fract_y
_atom_site_fract_z
Ce1 Ce 0.000 0.500 0.500
Ce2 Ce 0.500 0.000 0.500
Ce3 Ce 0.500 0.500 0.000
Nd1 Nd 0.000 0.000 0.500
Nd2 Nd 0.000 0.500 0.000
Nd3 Nd 0.500 0.000 0.000
Sc1 Sc 0.500 0.500 0.500
S1 S 0.251 0.251 0.251
S2 S 0.264 0.264 0.734
S3 S 0.264 0.734 0.264
S4 S 0.266 0.736 0.736
S5 S 0.734 0.264 0.264
S6 S 0.736 0.266 0.736
S7 S 0.736 0.736 0.266
S8 S 0.749 0.749 0.749

---

# PBE BaY2Si, relaxed
# M_tot, μB/atom: 0.000
# Density of states at the Fermi level, states/eV per cell: 3.48
# Uncorrected formation energy, eV per atom: -0.1645
# Calculated density, g/cm³: 4.358
data_BaY2Si
_chemical_formula_sum 'Ba1 Y2 Si1'
_space_group_name_H-M_alt 'P 1'
_space_group_IT_number 1
_cell_length_a 3.650
_cell_length_b 3.650
_cell_length_c 9.877
_cell_angle_alpha 90.00
_cell_angle_beta 90.00
_cell_angle_gamma 96.26
loop_
_space_group_symop_operation_xyz
'x,y,z'
loop_
_atom_site_label
_atom_site_type_symbol
_atom_site_fract_x
_atom_site_fract_y
_atom_site_fract_z
Ba1 Ba 0.000 0.000 0.000
Y1 Y 0.500 0.500 0.333
Y2 Y 0.500 0.500 0.667
Si1 Si 0.000 0.000 0.500

---

# PBE Tb3Nd6Ho, relaxed
# M_tot, μB/atom: 0.000
# Density of states at the Fermi level, states/eV per cell: 33.04
# ΔE to the lowest computed polymorph, eV per atom: 0.000
# Energy of formation, eV/atom: 0.122
# Calculated density, g/cm³: 7.332
data_Tb3Nd6Ho
_chemical_formula_sum 'Tb6 Nd12 Ho2'
_space_group_name_H-M_alt 'P 1'
_space_group_IT_number 1
_cell_length_a 11.807
_cell_length_b 11.807
_cell_length_c 6.454
_cell_angle_alpha 90.00
_cell_angle_beta 90.00
_cell_angle_gamma 130.65
loop_
_space_group_symop_operation_xyz
'x,y,z'
loop_
_atom_site_label
_atom_site_type_symbol
_atom_site_fract_x
_atom_site_fract_y
_atom_site_fract_z
Tb1 Tb 0.079 0.921 0.500
Tb2 Tb 0.207 0.458 0.904
Tb3 Tb 0.458 0.207 0.404
Tb4 Tb 0.542 0.793 0.904
Tb5 Tb 0.793 0.542 0.404
Tb6 Tb 0.921 0.079 0.000
Nd1 Nd 0.045 0.606 0.734
Nd2 Nd 0.120 0.242 0.480
Nd3 Nd 0.199 0.801 0.211
Nd4 Nd 0.242 0.120 0.980
Nd5 Nd 0.394 0.955 0.734
Nd6 Nd 0.484 0.516 0.232
Nd7 Nd 0.516 0.484 0.732
Nd8 Nd 0.606 0.045 0.234
Nd9 Nd 0.758 0.880 0.480
Nd10 Nd 0.801 0.199 0.711
Nd11 Nd 0.880 0.758 0.980
Nd12 Nd 0.955 0.394 0.234
Ho1 Ho 0.342 0.658 0.430
Ho2 Ho 0.658 0.342 0.930

---

# PBE CdHCl3, relaxed
# M_tot, μB/atom: 0.324
# Density of states at the Fermi level, states/eV per cell: 12.51
# ΔE to the lowest computed polymorph, eV per atom: 0.918
# Calculated density, g/cm³: 2.587
data_CdHCl3
_chemical_formula_sum 'Cd1 H1 Cl3'
_space_group_name_H-M_alt 'P 1'
_space_group_IT_number 1
_cell_length_a 5.206
_cell_length_b 5.206
_cell_length_c 5.206
_cell_angle_alpha 90.00
_cell_angle_beta 90.00
_cell_angle_gamma 90.00
loop_
_space_group_symop_operation_xyz
'x,y,z'
loop_
_atom_site_label
_atom_site_type_symbol
_atom_site_fract_x
_atom_site_fract_y
_atom_site_fract_z
Cd1 Cd 0.000 0.000 0.000
H1 H 0.500 0.500 0.500
Cl1 Cl 0.000 0.000 0.500
Cl2 Cl 0.000 0.500 0.000
Cl3 Cl 0.500 0.000 0.000

---

# PBE SrLa4P, relaxed
# M_tot, μB/atom: 0.001
# Density of states at the Fermi level, states/eV per cell: 9.57
# Energy of formation, eV/atom: 0.338
# Calculated density, g/cm³: 5.399
data_SrLa4P
_chemical_formula_sum 'Sr1 La4 P1'
_space_group_name_H-M_alt 'P 1'
_space_group_IT_number 1
_cell_length_a 6.644
_cell_length_b 6.644
_cell_length_c 6.644
_cell_angle_alpha 60.00
_cell_angle_beta 60.00
_cell_angle_gamma 60.00
loop_
_space_group_symop_operation_xyz
'x,y,z'
loop_
_atom_site_label
_atom_site_type_symbol
_atom_site_fract_x
_atom_site_fract_y
_atom_site_fract_z
Sr1 Sr 0.000 0.000 0.000
La1 La 0.124 0.625 0.625
La2 La 0.625 0.124 0.625
La3 La 0.625 0.625 0.124
La4 La 0.625 0.625 0.625
P1 P 0.250 0.250 0.250

---

# PBE InRe3Ni, relaxed
# M_tot, μB/atom: 0.092
# Density of states at the Fermi level, states/eV per cell: 8.80
# ΔE to the lowest computed polymorph, eV per atom: 1.678
# Energy of formation, eV/atom: 3.332
# Calculated density, g/cm³: 11.114
data_InRe3Ni
_chemical_formula_sum 'In1 Re3 Ni1'
_space_group_name_H-M_alt 'P 1'
_space_group_IT_number 1
_cell_length_a 4.782
_cell_length_b 4.782
_cell_length_c 4.782
_cell_angle_alpha 90.00
_cell_angle_beta 90.00
_cell_angle_gamma 90.00
loop_
_space_group_symop_operation_xyz
'x,y,z'
loop_
_atom_site_label
_atom_site_type_symbol
_atom_site_fract_x
_atom_site_fract_y
_atom_site_fract_z
In1 In 0.000 0.000 0.000
Re1 Re 0.000 0.000 0.500
Re2 Re 0.000 0.500 0.000
Re3 Re 0.500 0.000 0.000
Ni1 Ni 0.500 0.500 0.500

---

| no. | electronic total energy (hartree per atom) |
| --- | --- |
| 1 | -0.08670 |
| 2 | -0.30947 |
| 3 | -0.08383 |
| 4 | -0.09813 |
| 5 | -0.19952 |
| 6 | -0.33778 |
| 7 | -0.24938 |
| 8 | -0.19231 |
| 9 | -0.16851 |
| 10 | -0.06961 |
| 11 | -0.15174 |
| 12 | -0.21463 |